Record 1
Ba3YRu2O9, optimized geometry, DFT PBE; E above lowest polymorph = 0 meV per atom; energy = -216.89 eV/cell
1.0
5.962 0.000 0.000
-2.981 5.163 0.000
0.000 0.000 14.606
Ba Y Ru O
6 2 4 18
Direct
0.000 0.000 0.250 Ba
0.000 0.000 0.750 Ba
0.333 0.667 0.095 Ba
0.333 0.667 0.405 Ba
0.667 0.333 0.595 Ba
0.667 0.333 0.905 Ba
0.000 0.000 0.000 Y
0.000 0.000 0.500 Y
0.333 0.667 0.665 Ru
0.333 0.667 0.835 Ru
0.667 0.333 0.165 Ru
0.667 0.333 0.335 Ru
0.019 0.510 0.750 O
0.176 0.353 0.588 O
0.176 0.353 0.912 O
0.176 0.824 0.588 O
0.176 0.824 0.912 O
0.353 0.176 0.088 O
0.353 0.176 0.412 O
0.490 0.510 0.750 O
0.490 0.981 0.750 O
0.510 0.019 0.250 O
0.510 0.490 0.250 O
0.647 0.824 0.588 O
0.647 0.824 0.912 O
0.824 0.176 0.088 O
0.824 0.176 0.412 O
0.824 0.647 0.088 O
0.824 0.647 0.412 O
0.981 0.490 0.250 O

***

Record 2
BaY2RuO8, optimized geometry, DFT PBE; energy = -89.60 eV/cell
1.0
4.375 0.000 0.000
0.212 5.239 0.000
2.159 0.060 6.945
Ba Y Ru O
1 2 1 8
Direct
0.000 0.000 0.000 Ba
0.378 0.525 0.313 Y
0.622 0.475 0.687 Y
0.000 0.000 0.500 Ru
0.163 0.304 0.600 O
0.213 0.765 0.627 O
0.323 0.499 0.008 O
0.354 0.972 0.261 O
0.646 0.028 0.739 O
0.677 0.501 0.992 O
0.787 0.235 0.373 O
0.837 0.696 0.400 O

***

no.,uncorrected formation energy (kJ/mol of formula units)
1,-3188
2,-2490